VASP calculation (PBE) on crystalline CoOsSe2 at its relaxed geometry.

Calculated values
- E above lowest polymorph: 838 meV/atom
- Uncorrected formation energy: 0.785 eV per atom
- E: -5.541 eV/atom
- SG: I-4m2

a = 5.108 Å, b = 5.108 Å, c = 5.108 Å
α = 137.58°, β = 137.58°, γ = 61.55°
Element x y z (fractional)
Se1 0.250 0.750 0.500
Os1 0.750 0.250 0.500
Se2 0.000 0.000 0.000
Co1 0.500 0.500 0.000


VASP calculation (PBE) on crystalline CsMg2Si2 at its relaxed geometry.

Calculated values
- E above lowest polymorph: 0 meV/atom
- Uncorrected formation energy: 0.038 eV per atom
- E: -2.939 eV/atom
- SG: I4/mmm

a = 4.930 Å, b = 4.930 Å, c = 6.336 Å
α = 67.11°, β = 67.11°, γ = 90.00°
Element x y z (fractional)
Mg1 0.750 0.250 0.500
Si1 0.613 0.613 0.774
Cs1 0.000 0.000 0.000
Si2 0.387 0.387 0.226
Mg2 0.250 0.750 0.500